(1)
A plane-wave DFT calculation with PBE-GGA was carried out for a geometry-optimized Cd2ReAu structure.

Calculated values
For the energy of formation, the calculation gives 510 meV per atom. The calculation puts the density of states at the Fermi level at 1.97 states/eV per cell. As for the symmetry: P4/mmm. The value obtained for the energy above the most stable polymorph in this dataset is 184 meV per atom. The calculation puts the calculated volume at 72 Å³/f.u.

a = 4.0285 Å, b = 4.2389 Å, c = 4.2389 Å
α = 90.00°, β = 90.00°, γ = 90.00°
With the nearest neighbours (Å) after each atom.
Sites, in units of the cell vectors:
Re: 0.5000 0.5000 0.0000  8 Cd 2.92, 4 Au 3.00
Au: 0.5000 0.0000 0.5000  8 Cd 2.92, 4 Re 3.00
Cd: 0.0000 0.0000 0.0000  4 Re 2.92, 4 Au 2.92, 4 Cd 3.00
Cd: 0.0000 0.5000 0.5000  4 Au 2.92, 4 Re 2.92, 4 Cd 3.00


(2)
A plane-wave DFT calculation with PBE-GGA was carried out for a geometry-optimized TaCrRe2 structure.

Calculated values
For the energy of formation, the calculation gives 716 meV per atom. The calculation puts the density of states at the Fermi level at 11.02 states/eV per cell. As for the symmetry: I-42d. The calculation puts the calculated volume at 65 Å³/f.u.

a = 7.0695 Å, b = 7.0695 Å, c = 5.6314 Å
α = 51.12°, β = 51.12°, γ = 90.00°
With the nearest neighbours (Å) after each atom.
Sites, in units of the cell vectors:
Re: 0.5930 0.1250 0.2500  2 Cr 2.43, 2 Re 2.63
Re: 0.1570 0.6250 0.2500  2 Cr 2.43, 2 Re 2.63
Re: 0.3750 0.4070 0.7500  2 Cr 2.43, 2 Re 2.63
Re: 0.8750 0.8430 0.7500  2 Cr 2.43, 2 Re 2.63
Cr: 0.5000 0.5000 0.0000  4 Re 2.43, 2 Ta 2.59
Cr: 0.2500 0.7500 0.5000  4 Re 2.43, 2 Ta 2.59
Ta: 0.0000 0.0000 0.0000  2 Cr 2.59, 4 Re 2.74
Ta: 0.7500 0.2500 0.5000  2 Cr 2.59, 4 Re 2.74


(3)
A plane-wave DFT calculation with PBE-GGA was carried out for a geometry-optimized Np3SbS6 structure.

Calculated values
The calculation puts the density of states at the Fermi level at 57.53 states/eV per cell. As for the symmetry: P2_1/m. As for the raw formation energy: -1.045 eV/atom. The calculation puts the calculated volume at 254 Å³/f.u.

a = 4.1224 Å, b = 11.1550 Å, c = 11.5405 Å
α = 107.06°, β = 90.00°, γ = 90.00°
With the nearest neighbours (Å) after each atom.
Sites, in units of the cell vectors:
Np: 0.7500 0.4416 0.8337  6 S 2.69-2.79
Np: 0.2500 0.5584 0.1663  6 S 2.69-2.79
Np: 0.7500 0.6680 0.4891  7 S 2.71-2.97
Np: 0.2500 0.3320 0.5109  7 S 2.71-2.97
Np: 0.7500 0.1547 0.0809  6 S 2.67-2.79
Np: 0.2500 0.8453 0.9191  6 S 2.67-2.79
Sb: 0.7500 0.9707 0.6574  3 S 2.52-2.62
Sb: 0.2500 0.0293 0.3426  3 S 2.52-2.62
S: 0.7500 0.4857 0.6137  4 Np 2.72-2.81
S: 0.2500 0.5143 0.3863  4 Np 2.72-2.81
S: 0.7500 0.9136 0.0751  3 Np 2.67-2.70
S: 0.2500 0.0864 0.9249  3 Np 2.67-2.70
S: 0.7500 0.3958 0.0579  4 Np 2.78-2.79
S: 0.2500 0.6042 0.9421  4 Np 2.78-2.79
S: 0.7500 0.7064 0.2678  3 Np 2.69-2.71
S: 0.2500 0.2936 0.7322  3 Np 2.69-2.71
S: 0.7500 0.1326 0.4742  2 Sb 2.62
S: 0.2500 0.8674 0.5258  2 Sb 2.62
S: 0.7500 0.7909 0.7483  1 Sb 2.52, 2 Np 2.79
S: 0.2500 0.2091 0.2517  1 Sb 2.52, 2 Np 2.79


(4)
A plane-wave DFT calculation with PBE-GGA was carried out for a geometry-optimized HfTiI structure.

Calculated values
The calculation puts the density of states at the Fermi level at 7.31 states/eV per cell. As for the symmetry: C2/m. As for the raw formation energy: -0.188 eV/atom. The calculation puts the calculated volume at 75 Å³/f.u.

a = 3.5998 Å, b = 3.5998 Å, c = 12.6042 Å
α = 106.37°, β = 106.37°, γ = 89.99°
With the nearest neighbours (Å) after each atom.
Sites, in units of the cell vectors:
I: 0.4155 0.4155 0.6611  4 Ti 2.98, 1 Hf 3.09
I: 0.5845 0.5845 0.3389  4 Ti 2.98, 1 Hf 3.09
Hf: 0.6797 0.6797 0.9287  5 Ti 2.98-3.19, 4 Hf 3.03, 1 I 3.09
Hf: 0.3203 0.3203 0.0713  5 Ti 2.98-3.19, 4 Hf 3.03, 1 I 3.09
Ti: 0.0480 0.0480 0.7954  5 Hf 2.98-3.19, 4 I 2.98
Ti: 0.9520 0.9520 0.2046  5 Hf 2.98-3.19, 4 I 2.98


(5)
A plane-wave DFT calculation with PBE-GGA was carried out for a geometry-optimized YSc2Te structure.

Calculated values
The calculation puts the density of states at the Fermi level at 6.46 states/eV per cell. As for the symmetry: I-4m2. As for the raw formation energy: -0.417 eV/atom. The calculation puts the calculated volume at 100 Å³/f.u.

a = 5.9399 Å, b = 5.9399 Å, c = 5.9399 Å
α = 136.05°, β = 136.05°, γ = 63.91°
With the nearest neighbours (Å) after each atom.
Sites, in units of the cell vectors:
Sc: 0.0000 0.0000 0.0000  4 Te 3.14, 4 Y 3.36, 4 Sc 3.36
Sc: 0.2500 0.7500 0.5000  4 Y 3.14, 4 Te 3.36, 4 Sc 3.36
Te: 0.5000 0.5000 0.0000  8 Sc 3.14-3.36, 4 Y 3.36
Y: 0.7500 0.2500 0.5000  8 Sc 3.14-3.36, 4 Te 3.36


(6)
A plane-wave DFT calculation with PBE-GGA was carried out for a geometry-optimized Er6SbP2S3 structure.

Calculated values
The calculation puts the density of states at the Fermi level at 3.83 states/eV per cell. As for the symmetry: C2/m. As for the raw formation energy: -1.704 eV/atom. The calculation puts the calculated volume at 270 Å³/f.u.

a = 3.9846 Å, b = 8.0014 Å, c = 8.9096 Å
α = 102.45°, β = 102.92°, γ = 90.00°
With the nearest neighbours (Å) after each atom.
Sites, in units of the cell vectors:
Er: 0.3257 0.9008 0.6513  3 S 2.73-2.89, 2 P 2.77, 1 Sb 2.96
Er: 0.6700 0.5785 0.3401  3 P 2.75-2.78, 3 S 2.87-2.88
Er: 0.6743 0.0992 0.3487  3 S 2.73-2.89, 2 P 2.77, 1 Sb 2.96
Er: 0.0042 0.2713 0.0083  3 S 2.72-2.86, 1 P 2.77, 2 Sb 2.94
Er: 0.9958 0.7287 0.9917  3 S 2.72-2.86, 1 P 2.77, 2 Sb 2.94
Er: 0.3300 0.4215 0.6599  3 P 2.75-2.78, 3 S 2.87-2.88
Sb: 0.5000 0.0000 0.0000  6 Er 2.94-2.96
P: 0.8323 0.6641 0.6645  6 Er 2.75-2.78
P: 0.1677 0.3359 0.3355  6 Er 2.75-2.78
S: 0.5000 0.5000 0.0000  6 Er 2.72-2.88
S: 0.8356 0.1671 0.6711  6 Er 2.73-2.89
S: 0.1644 0.8329 0.3289  6 Er 2.73-2.89


(7)
A plane-wave DFT calculation with PBE-GGA was carried out for a geometry-optimized La2NdY structure.

Calculated values
For the energy of formation, the calculation gives 100 meV per atom. The calculation puts the density of states at the Fermi level at 8.80 states/eV per cell. As for the symmetry: Fm-3m. The value obtained for the energy above the most stable polymorph in this dataset is 89 meV per atom. The calculation puts the calculated volume at 143 Å³/f.u.

a = 5.8742 Å, b = 5.8742 Å, c = 5.8742 Å
α = 60.00°, β = 60.00°, γ = 60.00°
With the nearest neighbours (Å) after each atom.
Sites, in units of the cell vectors:
Y: 0.5000 0.5000 0.5000  8 La 3.60
Nd: 0.0000 0.0000 0.0000  8 La 3.60
La: 0.2500 0.2500 0.2500  4 Nd 3.60, 4 Y 3.60
La: 0.7500 0.7500 0.7500  4 Nd 3.60, 4 Y 3.60


(8)
A plane-wave DFT calculation with PBE-GGA was carried out for a geometry-optimized Ba2LaIn structure.

Calculated values
For the energy of formation, the calculation gives -3 meV per atom. The calculation puts the density of states at the Fermi level at 5.82 states/eV per cell. As for the symmetry: P4/mmm. The calculation puts the calculated volume at 166 Å³/f.u.

a = 6.0843 Å, b = 6.0843 Å, c = 4.4823 Å
α = 90.00°, β = 90.00°, γ = 90.00°
With the nearest neighbours (Å) after each atom.
Sites, in units of the cell vectors:
Ba: 0.0000 0.0000 0.0000  4 In 3.78, 4 La 3.78
Ba: 0.5000 0.5000 0.0000  4 La 3.78, 4 In 3.78
In: 0.5000 0.0000 0.5000  8 Ba 3.78
La: 0.0000 0.5000 0.5000  8 Ba 3.78


Q: Which value of density of states at the Fermi level does entry 1 give?
A: 1.97 states/eV per cell